Record 1
Material: CaHfZn2F
Method: DFT, PBE
State: optimized geometry

Geometry as POSCAR:
```
CaHfZn2F
1.0
-3.4213 -0.7046 4.1988
0.0098 -3.8948 -0.6456
4.2575 -0.5490 3.3770
Zn Hf Ca F
2 1 1 1
direct
0.0000 0.0000 0.5000
0.5000 0.0000 0.0000
0.5000 0.5000 0.5000
0.0000 0.0000 0.0000
0.0000 0.5000 0.0000
```

Calculated values
The uncorrected formation energy is -0.21 eV per atom. The calculated total energy comes out at -3.49 eV per atom. The space group is P4/mmm, No. 123.


Record 2
Material: Ba3Cu2AgH9
Method: DFT, PBE
State: optimized geometry

Geometry as POSCAR:
```
Ba3Cu2AgH9
1.0
5.6615 0.0000 0.0000
-2.8307 4.9030 0.0000
0.0000 0.0000 6.9464
Ba Cu Ag H
3 2 1 9
direct
0.3333 0.6667 0.6745
0.0000 0.0000 0.0000
0.6667 0.3333 0.3255
0.3333 0.6667 0.1730
0.6667 0.3333 0.8270
0.0000 0.0000 0.5000
0.8205 0.1795 0.6819
0.8205 0.6410 0.6819
0.3590 0.1795 0.6819
0.6410 0.8205 0.3181
0.1795 0.3590 0.3181
0.1795 0.8205 0.3181
0.5000 0.0000 0.0000
0.0000 0.5000 0.0000
0.5000 0.5000 0.0000
```

Calculated values
The calculated total energy comes out at -3.42 eV per atom. The space group is P-3m1, No. 164.


Record 3
Material: TiSiSCl2
Method: DFT, PBE
State: optimized geometry

Geometry as POSCAR:
```
TiSiSCl2
1.0
4.7243 0.0000 0.0000
0.0000 4.7243 0.0000
0.0000 0.0000 4.8625
S Cl Si Ti
1 2 1 1
direct
0.0000 0.0000 0.5000
0.0000 0.5000 0.0000
0.5000 0.0000 0.0000
0.0000 0.0000 0.0000
0.5000 0.5000 0.5000
```

Calculated values
The uncorrected formation energy is 0.01 eV per atom. The calculated total energy comes out at -4.21 eV per atom. The space group is P4/mmm, No. 123. The calculation puts the distance to the lowest polymorph of the same formula at 327 meV per atom.